Below is a relaxed Mg2TlOs2 crystal, with properties calculated at the PBE level.

Values from the calculation:
VASP energy: -51.8 eV per cell
Energy above the lowest structure with this stoichiometry: 0.000 eV per atom
ΔE_f: 420 meV/atom

a b c (Å): 6.793 6.793 4.203
angles (deg): 90.00 90.00 90.00
Fractional coordinates of all 10 atoms:
Tl 0.000 0.000 0.000
Os 0.624 0.124 0.000
Mg 0.164 0.664 0.500
Os 0.124 0.376 0.000
Os 0.376 0.876 0.000
Mg 0.664 0.836 0.500
Tl 0.500 0.500 0.000
Os 0.876 0.624 0.000
Mg 0.836 0.336 0.500
Mg 0.336 0.164 0.500